No. 1
# AcMgPd | Alexandria via LeMat-Bulk | PBE | optimized geometry
data_AcMgPd
_chemical_formula_sum 'Ac6 Mg6 Pd6'
_cell_length_a 7.9104
_cell_length_b 4.3522
_cell_length_c 13.5789
_cell_angle_alpha 90.00
_cell_angle_beta 90.35
_cell_angle_gamma 90.00
_space_group_name_H-M_alt 'P 1 21/m 1'
_space_group_IT_number 11
loop_
_space_group_symop_operation_xyz
'x,y,z'
'-x,-y,-z'
'-x,y+1/2,-z'
'x,-y+1/2,z'
loop_
_atom_site_label
_atom_site_type_symbol
_atom_site_fract_x
_atom_site_fract_y
_atom_site_fract_z
Ac1 Ac 0.0364 0.2500 0.3739
Ac2 Ac 0.1605 0.2500 0.0835
Ac3 Ac 0.4576 0.7500 0.7125
Mg1 Mg 0.1390 0.2500 0.8037
Mg2 Mg 0.3666 0.7500 0.4624
Mg3 Mg 0.4947 0.2500 0.9191
Pd1 Pd 0.2441 0.7500 0.2488
Pd2 Pd 0.2619 0.2500 0.5778
Pd3 Pd 0.2639 0.7500 0.9141
# total magnetization	0.000	μB/f.u.

=====

No. 2
# Ac3Mg4Pd4 | Alexandria via LeMat-Bulk | PBE | optimized geometry
data_Ac3Mg4Pd4
_chemical_formula_sum 'Ac6 Mg8 Pd8'
_cell_length_a 4.2504
_cell_length_b 8.2947
_cell_length_c 15.3139
_cell_angle_alpha 90.00
_cell_angle_beta 90.00
_cell_angle_gamma 90.00
_space_group_name_H-M_alt 'I m m m'
_space_group_IT_number 71
_space_group_name_Hall '-I 2 2'
loop_
_atom_site_label
_atom_site_type_symbol
_atom_site_fract_x
_atom_site_fract_y
_atom_site_fract_z
Ac1 Ac 0.0000 0.0000 0.0000
Ac2 Ac 0.0000 0.5000 0.1189
Mg1 Mg 0.0000 0.3115 0.3236
Pd1 Pd 0.0000 0.0000 0.2265
Pd2 Pd 0.0000 0.2056 0.5000
# total magnetization	0.000	μB/f.u.

=====

No. 3
# AcMgPd | Alexandria via LeMat-Bulk | PBE | optimized geometry
data_AcMgPd
_chemical_formula_sum 'Ac4 Mg4 Pd4'
_cell_length_a 7.1013
_cell_length_b 7.1013
_cell_length_c 7.1013
_cell_angle_alpha 90.00
_cell_angle_beta 90.00
_cell_angle_gamma 90.00
_space_group_name_H-M_alt 'F -4 3 m'
_space_group_IT_number 216
_space_group_name_Hall 'F -4 2 3'
loop_
_atom_site_label
_atom_site_type_symbol
_atom_site_fract_x
_atom_site_fract_y
_atom_site_fract_z
Ac1 Ac 0.0000 0.0000 0.0000
Mg1 Mg 0.0000 0.0000 0.5000
Pd1 Pd 0.2500 0.2500 0.2500
# total magnetization	0.000	μB/f.u.

=====

No. 4
# Ac2MgPd | Alexandria via LeMat-Bulk | PBE | optimized geometry
data_Ac2MgPd
_chemical_formula_sum 'Ac8 Mg4 Pd4'
_cell_length_a 7.9105
_cell_length_b 7.9105
_cell_length_c 7.9105
_cell_angle_alpha 90.00
_cell_angle_beta 90.00
_cell_angle_gamma 90.00
_space_group_name_H-M_alt 'F m -3 m'
_space_group_IT_number 225
_space_group_name_Hall '-F 4 2 3'
loop_
_atom_site_label
_atom_site_type_symbol
_atom_site_fract_x
_atom_site_fract_y
_atom_site_fract_z
Ac1 Ac 0.2500 0.2500 0.2500
Mg1 Mg 0.0000 0.0000 0.0000
Pd1 Pd 0.0000 0.0000 0.5000
# total magnetization	0.000	μB/f.u.

=====

No. 5
# AcMg2Pd | Alexandria via LeMat-Bulk | PBE | optimized geometry
data_AcMg2Pd
_chemical_formula_sum 'Ac1 Mg2 Pd1'
_cell_length_a 3.4822
_cell_length_b 3.4822
_cell_length_c 8.1166
_cell_angle_alpha 90.00
_cell_angle_beta 90.00
_cell_angle_gamma 90.00
_space_group_name_H-M_alt 'P 4/m m m'
_space_group_IT_number 123
_space_group_name_Hall '-P 4 2'
loop_
_atom_site_label
_atom_site_type_symbol
_atom_site_fract_x
_atom_site_fract_y
_atom_site_fract_z
Ac1 Ac 0.0000 0.0000 0.0000
Mg1 Mg 0.5000 0.5000 0.3254
Pd1 Pd 0.0000 0.0000 0.5000
# total magnetization	0.000	μB/f.u.

=====

No. 6
# Ac4MgPd | Alexandria via LeMat-Bulk | PBE | optimized geometry
data_Ac4MgPd
_chemical_formula_sum 'Ac64 Mg16 Pd16'
_cell_length_a 15.1590
_cell_length_b 15.1590
_cell_length_c 15.1590
_cell_angle_alpha 90.00
_cell_angle_beta 90.00
_cell_angle_gamma 90.00
_space_group_name_H-M_alt 'F -4 3 m'
_space_group_IT_number 216
_space_group_name_Hall 'F -4 2 3'
loop_
_atom_site_label
_atom_site_type_symbol
_atom_site_fract_x
_atom_site_fract_y
_atom_site_fract_z
Ac1 Ac 0.0000 0.0000 0.1852
Ac2 Ac 0.0576 0.2500 0.2500
Ac3 Ac 0.0979 0.0979 0.5979
Mg1 Mg 0.1727 0.1727 0.8273
Pd1 Pd 0.1067 0.1067 0.3933
# total magnetization	0.000	μB/f.u.

=====

No. 7
# Ac2Mg3Pd4 | Alexandria via LeMat-Bulk | PBE | optimized geometry
data_Ac2Mg3Pd4
_chemical_formula_sum 'Ac8 Mg12 Pd16'
_cell_length_a 6.0175
_cell_length_b 17.0929
_cell_length_c 7.7443
_cell_angle_alpha 90.00
_cell_angle_beta 90.00
_cell_angle_gamma 90.00
_space_group_name_H-M_alt 'C m c e'
_space_group_IT_number 64
_space_group_name_Hall '-C 2ac 2'
loop_
_atom_site_label
_atom_site_type_symbol
_atom_site_fract_x
_atom_site_fract_y
_atom_site_fract_z
Ac1 Ac 0.0000 0.1084 0.0811
Mg1 Mg 0.0000 0.0000 0.5000
Mg2 Mg 0.2500 0.2266 0.7500
Pd1 Pd 0.0000 0.1721 0.4738
Pd2 Pd 0.2500 0.0666 0.7500
# total magnetization	0.000	μB/f.u.

=====

No. 8
# Ac2Mg16Pd | Alexandria via LeMat-Bulk | PBE | optimized geometry
data_Ac2Mg16Pd
_chemical_formula_sum 'Ac6 Mg48 Pd3'
_cell_length_a 10.3495
_cell_length_b 10.3495
_cell_length_c 15.1898
_cell_angle_alpha 90.00
_cell_angle_beta 90.00
_cell_angle_gamma 120.00
_space_group_name_H-M_alt 'R 3 m'
_space_group_IT_number 160
_space_group_name_Hall 'R 3 -2"'
loop_
_atom_site_label
_atom_site_type_symbol
_atom_site_fract_x
_atom_site_fract_y
_atom_site_fract_z
Ac1 Ac 0.0000 0.0000 0.0000
Ac2 Ac 0.0000 0.0000 0.3363
Mg1 Mg 0.0000 0.0000 0.5896
Mg2 Mg 0.0004 0.2934 0.6709
Mg3 Mg 0.0005 0.5003 0.5160
Mg4 Mg 0.0012 0.5006 0.8230
Mg5 Mg 0.1750 0.3500 0.5031
Pd1 Pd 0.0000 0.0000 0.7761
# total magnetization	0.000	μB/f.u.

=====

No. 9
# Ac4MgPd | Alexandria via LeMat-Bulk | PBE | optimized geometry
data_Ac4MgPd
_chemical_formula_sum 'Ac4 Mg1 Pd1'
_cell_length_a 4.0477
_cell_length_b 7.2547
_cell_length_c 7.9419
_cell_angle_alpha 79.11
_cell_angle_beta 88.85
_cell_angle_gamma 73.95
_space_group_name_H-M_alt 'P 1'
_space_group_IT_number 1
loop_
_space_group_symop_operation_xyz
'x,y,z'
loop_
_atom_site_label
_atom_site_type_symbol
_atom_site_fract_x
_atom_site_fract_y
_atom_site_fract_z
Ac1 Ac 0.0000 0.0000 0.0000
Ac2 Ac 0.0458 0.9142 0.4921
Ac3 Ac 0.2820 0.4194 0.1756
Ac4 Ac 0.3427 0.3561 0.6587
Mg1 Mg 0.6699 0.6686 0.8451
Pd1 Pd 0.6276 0.7315 0.2470
# total magnetization	0.000	μB/f.u.

=====

No. 10
# Ac3Mg2Pd4 | Alexandria via LeMat-Bulk | PBE | optimized geometry
data_Ac3Mg2Pd4
_chemical_formula_sum 'Ac6 Mg4 Pd8'
_cell_length_a 12.5971
_cell_length_b 4.3809
_cell_length_c 9.2919
_cell_angle_alpha 90.00
_cell_angle_beta 116.08
_cell_angle_gamma 90.00
_space_group_name_H-M_alt 'C 1 2/m 1'
_space_group_IT_number 12
loop_
_space_group_symop_operation_xyz
'x,y,z'
'-x,-y,-z'
'-x,y,-z'
'x,-y,z'
'x+1/2,y+1/2,z'
'-x+1/2,-y+1/2,-z'
'-x+1/2,y+1/2,-z'
'x+1/2,-y+1/2,z'
loop_
_atom_site_label
_atom_site_type_symbol
_atom_site_fract_x
_atom_site_fract_y
_atom_site_fract_z
Ac1 Ac 0.0000 0.0000 0.0000
Ac2 Ac 0.1298 0.5000 0.7085
Mg1 Mg 0.1784 0.5000 0.3551
Pd1 Pd 0.0777 0.0000 0.4192
Pd2 Pd 0.2035 0.5000 0.0719
# total magnetization	0.000	μB/f.u.

=====

Number 1: uncorrected energy -76.79 eV per cell, energy of formation -634 meV/atom. Number 2: uncorrected energy -93.27 eV per cell, energy of formation -651 meV/atom. Number 3: uncorrected energy -49.16 eV per cell, energy of formation -465 meV/atom. Number 4: uncorrected energy -64.81 eV per cell, energy of formation -300 meV/atom. Number 5: uncorrected energy -13.72 eV per cell, energy of formation -307 meV/atom. Number 6: uncorrected energy -401.52 eV per cell, energy of formation -312 meV/atom. Number 7: uncorrected energy -159.09 eV per cell, energy of formation -667 meV/atom. Number 8: uncorrected energy -123.95 eV per cell, energy of formation -126 meV/atom. Number 9: uncorrected energy -24.56 eV per cell, energy of formation -223 meV/atom. Number 10: uncorrected energy -85.36 eV per cell, energy of formation -710 meV/atom.